The following is a DFT calculation (SCAN) of BaSr2Zn at its PBEsol-relaxed geometry.

```
BaSr2Zn
1.0
-3.5705 -2.4394 0.1820
0.3120 -4.2333 0.8454
-1.9800 -0.0961 11.3291
Ba Zn Sr
1 1 2
Direct
0.0000 0.0000 0.0000 Ba
0.5000 0.5000 0.5000 Zn
0.2255 0.2255 0.3235 Sr
0.7745 0.7745 0.6765 Sr
```

Summary:
formation enthalpy at 0 K: -0.022 eV/atom
total DFT energy (no corrections): -24.43 eV per atom
SG: No. 166

The following is a DFT calculation (SCAN) of MgPd3Br at its PBEsol-relaxed geometry.

```
MgPd3Br
1.0
4.6988 0.0000 0.0000
0.0000 4.6988 0.0000
0.0000 0.0000 4.6988
Pd Br Mg
3 1 1
Direct
0.5000 0.0000 0.0000 Pd
0.0000 0.5000 0.0000 Pd
0.0000 0.0000 0.5000 Pd
0.0000 0.0000 0.0000 Br
0.5000 0.5000 0.5000 Mg
```

Summary:
formation energy from raw total energies: 0.388 eV per atom
total DFT energy (no corrections): -24.16 eV per atom
SG: No. 221

The following is a DFT calculation (SCAN) of TlIn3Pb at its PBEsol-relaxed geometry.

```
TlIn3Pb
1.0
-5.1505 1.0104 -2.2297
-1.3388 -5.5112 0.5950
-2.0495 1.0609 5.2148
In Tl Pb
3 1 1
Direct
0.0000 0.0000 0.5000 In
0.5000 0.0000 0.0000 In
0.0000 0.5000 0.0000 In
0.5000 0.5000 0.5000 Tl
0.0000 0.0000 0.0000 Pb
```

Summary:
formation enthalpy at 0 K: 0.488 eV/atom
total DFT energy (no corrections): -49.17 eV per atom
SG: No. 221

The following is a DFT calculation (SCAN) of BeTlRh2 at its PBEsol-relaxed geometry.

```
BeTlRh2
1.0
-0.8114 3.0264 -0.0640
-1.4879 -0.4830 -3.9800
-3.8533 -1.0001 1.5619
Rh Be Tl
2 1 1
Direct
0.0000 0.5000 0.0000 Rh
0.0000 0.0000 0.5000 Rh
0.5000 0.0000 0.0000 Be
0.5000 0.5000 0.5000 Tl
```

Summary:
formation enthalpy at 0 K: -0.014 eV/atom
total DFT energy (no corrections): -36.08 eV per atom
SG: No. 123